Computed, not measured: a geometry-optimized NaTaTeMo structure at the PBE level of DFT.

- space group = F-43m, No. 216
- energy above the most stable polymorph in this dataset (meV per atom) = 125
- calculated total energy (Ha/atom) = -0.2276

Cell: 4.7158 4.7158 4.7158 Å, 60.00 60.00 60.00°
Last column: nearest neighbours and their distance in Å.
Atoms (fractional coordinates):
Na1 0.7500 0.7500 0.7500  4 Te 2.89, 4 Mo 2.89
Mo1 0.0000 0.0000 0.0000  4 Na 2.89, 4 Ta 2.89
Te1 0.5000 0.5000 0.5000  4 Na 2.89, 4 Ta 2.89
Ta1 0.2500 0.2500 0.2500  4 Te 2.89, 4 Mo 2.89